Entry one
DFT (PBE) results for crystalline HgPtW at its relaxed geometry.

a = 6.259 Å, b = 6.259 Å, c = 6.259 Å
α = 90.00°, β = 90.00°, γ = 90.00°
Space group F-43m (No. 216)
Inequivalent atoms, fractional coordinates:
1 Hg 0.000 0.000 0.000 [4 per cell]
2 Pt 0.000 0.000 0.500 [4 per cell]
3 W 0.250 0.250 0.250 [4 per cell]

Summary:
DOS(E_F) = 6.6 states/eV per cell

---

Entry two
DFT (PBE) results for crystalline HgPtW at its relaxed geometry.

a = 2.9041 Å, b = 2.9041 Å, c = 7.1866 Å
α = 90.00°, β = 90.00°, γ = 120.00°
Space group P3m1 (No. 156)
Inequivalent atoms, fractional coordinates:
1 Hg 0.0000 0.0000 0.0000 [1 per cell]
2 Pt 0.6667 0.3333 0.3514 [1 per cell]
3 W 0.3333 0.6667 0.6463 [1 per cell]

Summary:
DOS(E_F) = 3.1 states/eV per cell

---

Energies relative to the most stable structure are entry one 506; entry two 0, reported in meV/atom.

---

Entry one
DFT (PBE) results for crystalline HgPtW at its relaxed geometry.

a = 6.188 Å, b = 6.188 Å, c = 6.188 Å
α = 90.00°, β = 90.00°, γ = 90.00°
Space group F-43m (No. 216)
Inequivalent atoms, fractional coordinates:
1 Hg 0.000 0.000 0.000 [4 per cell]
2 Pt 0.250 0.250 0.250 [4 per cell]
3 W 0.000 0.000 0.500 [4 per cell]

Summary:
DOS(E_F) = 0.1 states/eV per cell

---

Entry two
DFT (PBE) results for crystalline HgPtW at its relaxed geometry.

a = 2.934 Å, b = 2.934 Å, c = 12.242 Å
α = 90.00°, β = 90.00°, γ = 90.00°
Space group I4mm (No. 107)
Inequivalent atoms, fractional coordinates:
1 Hg 0.000 0.000 0.000 [2 per cell]
2 Pt 0.000 0.000 0.316 [2 per cell]
3 W 0.000 0.000 0.678 [2 per cell]

Summary:
DOS(E_F) = 3.9 states/eV per cell

---

Energies relative to the most stable structure are entry one 305; entry two 0, reported in meV/atom.

---

Entry one
DFT (PBE) results for crystalline YHg2Pt2 at its relaxed geometry.

a = 4.017 Å, b = 4.017 Å, c = 13.558 Å
α = 90.00°, β = 90.00°, γ = 90.00°
Space group I4/mmm (No. 139)
Inequivalent atoms, fractional coordinates:
1 Y 0.000 0.000 0.000 [2 per cell]
2 Hg 0.000 0.500 0.250 [4 per cell]
3 Pt 0.000 0.000 0.405 [4 per cell]

Summary:
DOS(E_F) = 5.1 states/eV per cell

---

Entry two
DFT (PBE) results for crystalline YHg2Pt2 at its relaxed geometry.

a = 7.755 Å, b = 7.755 Å, c = 3.429 Å
α = 90.00°, β = 90.00°, γ = 90.00°
Space group P4/mbm (No. 127)
Inequivalent atoms, fractional coordinates:
1 Y 0.000 0.000 0.000 [2 per cell]
2 Hg 0.126 0.374 0.000 [4 per cell]
3 Pt 0.178 0.678 0.500 [4 per cell]

Summary:
DOS(E_F) = 5.5 states/eV per cell

---

Energies relative to the most stable structure are entry one 0; entry two 176, reported in meV/atom.

---

Entry one
DFT (PBE) results for crystalline Y2Hg2Pt at its relaxed geometry.

a = 7.579 Å, b = 7.579 Å, c = 4.163 Å
α = 90.00°, β = 90.00°, γ = 90.00°
Space group P4/mbm (No. 127)
Inequivalent atoms, fractional coordinates:
1 Y 0.172 0.328 0.000 [4 per cell]
2 Hg 0.134 0.634 0.500 [4 per cell]
3 Pt 0.000 0.000 0.500 [2 per cell]

Summary:
DOS(E_F) = 9.3 states/eV per cell

---

Entry two
DFT (PBE) results for crystalline Y2Hg2Pt at its relaxed geometry.

a = 7.546 Å, b = 7.546 Å, c = 4.680 Å
α = 90.00°, β = 90.00°, γ = 90.00°
Space group P4/mbm (No. 127)
Inequivalent atoms, fractional coordinates:
1 Y 0.169 0.331 0.000 [4 per cell]
2 Hg 0.141 0.641 0.500 [4 per cell]
3 Pt 0.000 0.000 0.000 [2 per cell]

Summary:
DOS(E_F) = 7.0 states/eV per cell

---

Energies relative to the most stable structure are entry one 0; entry two 86, reported in meV/atom.

---

Entry one
DFT (PBE) results for crystalline Zn2HgPt2 at its relaxed geometry.

a = 3.914 Å, b = 3.914 Å, c = 11.783 Å
α = 90.00°, β = 90.00°, γ = 90.00°
Space group I4/mmm (No. 139)
Inequivalent atoms, fractional coordinates:
1 Zn 0.000 0.000 0.106 [4 per cell]
2 Hg 0.000 0.000 0.500 [2 per cell]
3 Pt 0.000 0.500 0.250 [4 per cell]

Summary:
DOS(E_F) = 3.5 states/eV per cell

---

Entry two
DFT (PBE) results for crystalline Zn2HgPt2 at its relaxed geometry.

a = 3.774 Å, b = 3.774 Å, c = 12.404 Å
α = 90.00°, β = 90.00°, γ = 90.00°
Space group I4/mmm (No. 139)
Inequivalent atoms, fractional coordinates:
1 Zn 0.000 0.500 0.250 [4 per cell]
2 Hg 0.000 0.000 0.000 [2 per cell]
3 Pt 0.000 0.000 0.392 [4 per cell]

Summary:
DOS(E_F) = 2.8 states/eV per cell

---

Energies relative to the most stable structure are entry one 100; entry two 0, reported in meV/atom.

---

Entry one
DFT (PBE) results for crystalline Pu3Hg at its relaxed geometry.

a = 4.238 Å, b = 4.980 Å, c = 9.833 Å
α = 90.00°, β = 90.00°, γ = 90.00°
Space group Immm (No. 71)
Inequivalent atoms, fractional coordinates:
1 Pu 0.000 0.000 0.000 [2 per cell]
2 Pu 0.000 0.500 0.256 [4 per cell]
3 Hg 0.000 0.000 0.500 [2 per cell]

Summary:
DOS(E_F) = 34.0 states/eV per cell

---

Entry two
DFT (PBE) results for crystalline Pu3Hg at its relaxed geometry.

a = 4.709 Å, b = 4.709 Å, c = 4.709 Å
α = 90.00°, β = 90.00°, γ = 90.00°
Space group Pm-3m (No. 221)
Inequivalent atoms, fractional coordinates:
1 Pu 0.000 0.000 0.500 [3 per cell]
2 Hg 0.500 0.500 0.500 [1 per cell]

Summary:
DOS(E_F) = 17.7 states/eV per cell

---

Energies relative to the most stable structure are entry one 22; entry two 0, reported in meV/atom.

---

Entry one
DFT (PBE) results for crystalline Pu2ReHg at its relaxed geometry.

a = 3.236 Å, b = 3.236 Å, c = 8.567 Å
α = 90.00°, β = 90.00°, γ = 90.00°
Space group P4/mmm (No. 123)
Inequivalent atoms, fractional coordinates:
1 Pu 0.000 0.000 0.211 [2 per cell]
2 Re 0.500 0.500 0.000 [1 per cell]
3 Hg 0.500 0.500 0.500 [1 per cell]

Summary:
DOS(E_F) = 11.1 states/eV per cell

---

Entry two
DFT (PBE) results for crystalline Pu2ReHg at its relaxed geometry.

a = 2.9499 Å, b = 2.9499 Å, c = 33.5878 Å
α = 90.00°, β = 90.00°, γ = 120.00°
Space group R-3m (No. 166, hexagonal axes)
Inequivalent atoms, fractional coordinates:
1 Pu 0.0000 0.0000 0.0796 [6 per cell]
2 Re 0.0000 0.0000 0.0000 [3 per cell]
3 Hg 0.0000 0.0000 0.5000 [3 per cell]

Summary:
DOS(E_F) = 31.2 states/eV per cell

---

Energies relative to the most stable structure are entry one 0; entry two 576, reported in meV/atom.

---

Entry one
DFT (PBE) results for crystalline Pu4HgRh2 at its relaxed geometry.

a = 7.317 Å, b = 7.317 Å, c = 5.615 Å
α = 90.00°, β = 90.00°, γ = 90.00°
Space group I4/mmm (No. 139)
Inequivalent atoms, fractional coordinates:
1 Pu 0.197 0.197 0.000 [8 per cell]
2 Hg 0.000 0.000 0.500 [2 per cell]
3 Rh 0.000 0.500 0.250 [4 per cell]

Summary:
DOS(E_F) = 44.3 states/eV per cell

---

Entry two
DFT (PBE) results for crystalline Pu4HgRh2 at its relaxed geometry.

a = 4.9129 Å, b = 4.9129 Å, c = 21.3761 Å
α = 90.00°, β = 90.00°, γ = 120.00°
Space group R-3m (No. 166, hexagonal axes)
Inequivalent atoms, fractional coordinates:
1 Pu 0.0000 0.0000 0.0711 [6 per cell]
2 Pu 0.0000 0.0000 0.2370 [6 per cell]
3 Hg 0.0000 0.0000 0.5000 [3 per cell]
4 Rh 0.0000 0.0000 0.3646 [6 per cell]

Summary:
DOS(E_F) = 71.4 states/eV per cell

---

Energies relative to the most stable structure are entry one 76; entry two 0, reported in meV/atom.

---

Entry one
DFT (PBE) results for crystalline Pu2HgRh at its relaxed geometry.

a = 3.8753 Å, b = 3.8753 Å, c = 24.3768 Å
α = 90.00°, β = 90.00°, γ = 120.00°
Space group R-3m (No. 166, hexagonal axes)
Inequivalent atoms, fractional coordinates:
1 Pu 0.0000 0.0000 0.2337 [6 per cell]
2 Hg 0.0000 0.0000 0.0000 [3 per cell]
3 Rh 0.0000 0.0000 0.5000 [3 per cell]

Summary:
DOS(E_F) = 50.3 states/eV per cell

---

Entry two
DFT (PBE) results for crystalline Pu2HgRh at its relaxed geometry.

a = 7.192 Å, b = 7.192 Å, c = 7.192 Å
α = 90.00°, β = 90.00°, γ = 90.00°
Space group Fm-3m (No. 225)
Inequivalent atoms, fractional coordinates:
1 Pu 0.250 0.250 0.250 [8 per cell]
2 Hg 0.000 0.000 0.000 [4 per cell]
3 Rh 0.000 0.000 0.500 [4 per cell]

Summary:
DOS(E_F) = 70.6 states/eV per cell

---

Energies relative to the most stable structure are entry one 0; entry two 59, reported in meV/atom.

---

Entry one
DFT (PBE) results for crystalline Pu2HgRh at its relaxed geometry.

a = 3.358 Å, b = 3.358 Å, c = 8.222 Å
α = 90.00°, β = 90.00°, γ = 90.00°
Space group P4/mmm (No. 123)
Inequivalent atoms, fractional coordinates:
1 Pu 0.000 0.000 0.212 [2 per cell]
2 Hg 0.500 0.500 0.500 [1 per cell]
3 Rh 0.500 0.500 0.000 [1 per cell]

Summary:
DOS(E_F) = 13.7 states/eV per cell

---

Entry two
DFT (PBE) results for crystalline Pu2HgRh at its relaxed geometry.

a = 3.5416 Å, b = 3.5416 Å, c = 26.9257 Å
α = 90.00°, β = 90.00°, γ = 120.00°
Space group R3m (No. 160, hexagonal axes)
Inequivalent atoms, fractional coordinates:
1 Pu 0.0000 0.0000 0.0000 [3 per cell]
2 Pu 0.0000 0.0000 0.2326 [3 per cell]
3 Hg 0.0000 0.0000 0.7608 [3 per cell]
4 Rh 0.0000 0.0000 0.5028 [3 per cell]

Summary:
DOS(E_F) = 45.4 states/eV per cell

---

Energies relative to the most stable structure are entry one 0; entry two 361, reported in meV/atom.

---

Entry one
DFT (PBE) results for crystalline SmPuHgRh at its relaxed geometry.

a = 3.528 Å, b = 3.528 Å, c = 7.667 Å
α = 90.00°, β = 90.00°, γ = 90.00°
Space group P4mm (No. 99)
Inequivalent atoms, fractional coordinates:
1 Sm 0.000 0.000 0.000 [1 per cell]
2 Pu 0.000 0.000 0.564 [1 per cell]
3 Hg 0.500 0.500 0.280 [1 per cell]
4 Rh 0.500 0.500 0.777 [1 per cell]

Summary:
DOS(E_F) = 10.1 states/eV per cell

---

Entry two
DFT (PBE) results for crystalline SmPuHgRh at its relaxed geometry.

a = 7.248 Å, b = 7.248 Å, c = 7.248 Å
α = 90.00°, β = 90.00°, γ = 90.00°
Space group F-43m (No. 216)
Inequivalent atoms, fractional coordinates:
1 Sm 0.000 0.000 0.000 [4 per cell]
2 Pu 0.000 0.000 0.500 [4 per cell]
3 Hg 0.250 0.250 0.750 [4 per cell]
4 Rh 0.250 0.250 0.250 [4 per cell]

Summary:
DOS(E_F) = 44.7 states/eV per cell

---

Energies relative to the most stable structure are entry one 0; entry two 102, reported in meV/atom.

---

Entry one
DFT (PBE) results for crystalline Pu2HgRu at its relaxed geometry.

a = 3.272 Å, b = 3.272 Å, c = 8.440 Å
α = 90.00°, β = 90.00°, γ = 90.00°
Space group P4/mmm (No. 123)
Inequivalent atoms, fractional coordinates:
1 Pu 0.000 0.000 0.210 [2 per cell]
2 Hg 0.500 0.500 0.500 [1 per cell]
3 Ru 0.500 0.500 0.000 [1 per cell]

Summary:
DOS(E_F) = 11.1 states/eV per cell

---

Entry two
DFT (PBE) results for crystalline Pu2HgRu at its relaxed geometry.

a = 7.130 Å, b = 7.130 Å, c = 7.130 Å
α = 90.00°, β = 90.00°, γ = 90.00°
Space group Fm-3m (No. 225)
Inequivalent atoms, fractional coordinates:
1 Pu 0.250 0.250 0.250 [8 per cell]
2 Hg 0.000 0.000 0.000 [4 per cell]
3 Ru 0.000 0.000 0.500 [4 per cell]

Summary:
DOS(E_F) = 53.0 states/eV per cell

---

Entry three
DFT (PBE) results for crystalline Pu2HgRu at its relaxed geometry.

a = 3.8517 Å, b = 3.8517 Å, c = 24.0318 Å
α = 90.00°, β = 90.00°, γ = 120.00°
Space group R-3m (No. 166, hexagonal axes)
Inequivalent atoms, fractional coordinates:
1 Pu 0.0000 0.0000 0.2320 [6 per cell]
2 Hg 0.0000 0.0000 0.0000 [3 per cell]
3 Ru 0.0000 0.0000 0.5000 [3 per cell]

Summary:
DOS(E_F) = 42.5 states/eV per cell

---

Energies relative to the most stable structure are entry one 0; entry two 230; entry three 159, reported in meV/atom.